A geometry-optimized NbV3F6 structure, computed with GGA+U.

Computed properties:
The calculation puts the density of states at the Fermi level at 2.783 states/eV/f.u. Its crystal system is triclinic. Its total energy is -6.140 eV/atom.

Cell: 4.8249 5.7550 5.7664 Å, 66.96 81.68 81.63°
Closest atoms and distances in Å follow each position.
Sites, in units of the cell vectors:
Nb 0.0000 0.0000 0.0000  6 F 2.20-2.22
V 0.0000 0.0000 0.5000  4 F 2.15
V 0.0000 0.5000 0.0000  4 F 2.15
V 0.5000 0.5000 0.5000  4 F 2.13
F 0.2542 0.1866 0.6377  2 V 2.13-2.15, 1 Nb 2.22
F 0.2551 0.6373 0.1862  2 V 2.13-2.15, 1 Nb 2.21
F 0.2736 0.1608 0.1617  2 V 2.15, 1 Nb 2.20
F 0.7264 0.8392 0.8383  2 V 2.15, 1 Nb 2.20
F 0.7449 0.3627 0.8138  2 V 2.13-2.15, 1 Nb 2.21
F 0.7458 0.8134 0.3623  2 V 2.13-2.15, 1 Nb 2.22